## TlAg (GGA-PBEsol)

Data for a relaxed TlAg crystal.

Cell lengths 3.178, 4.987, 6.217 Å; angles 113.65, 104.81, 90.00 degrees
Positions (direct):
1 Tl 0.894 0.144 0.787
2 Tl 0.106 0.856 0.213
3 Ag 0.355 0.605 0.711
4 Ag 0.645 0.395 0.289

Output
N(E_F) = 1.6 states/eV/cell
Energy relative to the elements = 0.27 eV/f.u.
Total magnetization = 0.00 μB/f.u.


## LiVOF3 (GGA-PBEsol)

Data for a relaxed LiVOF3 crystal.

Cell lengths 5.396, 5.396, 9.461 Å; angles 90.00, 90.00, 90.00 degrees
Last column: magnetic moment on the atom in μB.
Positions (direct):
1 Li 0.117 0.857 0.751  0.00
2 Li 0.143 0.117 0.001  0.00
3 Li 0.857 0.883 0.501  0.00
4 Li 0.883 0.143 0.251  0.00
5 V 0.143 0.399 0.501  1.00
6 V 0.399 0.857 0.251  1.00
7 V 0.601 0.143 0.751  1.00
8 V 0.857 0.601 0.001  1.00
9 O 0.096 0.652 0.587  -0.08
10 O 0.348 0.096 0.837  -0.08
11 O 0.652 0.904 0.337  -0.08
12 O 0.904 0.348 0.087  -0.08
13 F 0.024 0.836 0.125  0.01
14 F 0.137 0.613 0.889  0.02
15 F 0.164 0.024 0.375  0.01
16 F 0.306 0.540 0.335  0.01
17 F 0.387 0.137 0.139  0.02
18 F 0.460 0.306 0.585  0.01
19 F 0.540 0.694 0.085  0.01
20 F 0.613 0.863 0.639  0.02
21 F 0.694 0.460 0.835  0.01
22 F 0.836 0.976 0.875  0.01
23 F 0.863 0.387 0.389  0.02
24 F 0.976 0.164 0.625  0.01

Output
Energy relative to the elements, uncorrected = -2.7167 eV/atom
Total magnetization = 1.00 μB/f.u.


## BeAu2Se (GGA-PBEsol)

Data for a relaxed BeAu2Se crystal.

Cell lengths 2.913, 4.018, 6.153 Å; angles 100.93, 90.00, 111.25 degrees
Positions (direct):
1 Be 0.000 0.000 0.500
2 Au 0.720 0.439 0.692
3 Au 0.280 0.561 0.308
4 Se 0.500 0.000 0.000

Output
Energy relative to the elements, uncorrected = 0.0320 eV/atom
N(E_F) = 0.9 states/eV/cell
Total magnetization = 0.00 μB/f.u.


## ScZn2Mo (GGA-PBEsol)

Data for a relaxed ScZn2Mo crystal.

Cell lengths 4.459, 4.459, 4.459 Å; angles 60.00, 60.00, 60.00 degrees
Last column: magnetic moment on the atom in μB.
Positions (direct):
1 Mo 0.000 0.000 0.000  0.67
2 Sc 0.500 0.500 0.500  -0.04
3 Zn 0.250 0.250 0.250  0.00
4 Zn 0.750 0.750 0.750  0.00

Output
N(E_F) = 3.4 states/eV/cell
Energy relative to the elements = 0.12 eV/f.u.
Total magnetization = 0.67 μB/f.u.


## FeTc5 (GGA-PBEsol)

Data for a relaxed FeTc5 crystal.

Cell lengths 2.666, 2.666, 11.241 Å; angles 90.00, 90.00, 90.00 degrees
Last column: magnetic moment on the atom in μB.
Positions (direct):
1 Fe 0.500 0.500 0.000  0.13
2 Tc 0.000 0.000 0.849  -0.01
3 Tc 0.000 0.000 0.151  -0.01
4 Tc 0.500 0.500 0.671  0.01
5 Tc 0.500 0.500 0.329  0.01
6 Tc 0.000 0.000 0.500  0.00

Output
N(E_F) = 6.7 states/eV/cell
Energy relative to the elements = 0.52 eV/f.u.
Total magnetization = 0.12 μB/f.u.


## CaMoIr2 (GGA-PBEsol)

Data for a relaxed CaMoIr2 crystal.

Cell lengths 3.522, 4.299, 4.299 Å; angles 90.00, 90.00, 90.00 degrees
Positions (direct):
1 Mo 0.500 0.500 0.500
2 Ir 0.000 0.000 0.500
3 Ir 0.000 0.500 0.000
4 Ca 0.500 0.000 0.000

Output
N(E_F) = 4.8 states/eV/cell
Energy relative to the elements = 1.10 eV/f.u.
Total magnetization = 0.00 μB/f.u.


## KSr3Cr (GGA-PBEsol)

Data for a relaxed KSr3Cr crystal.

Cell lengths 6.561, 6.561, 6.561 Å; angles 90.00, 90.00, 90.00 degrees
Last column: magnetic moment on the atom in μB.
Positions (direct):
1 Sr 0.000 0.500 0.000  -0.07
2 Sr 0.000 0.000 0.500  -0.07
3 Sr 0.500 0.000 0.000  -0.07
4 K 0.000 0.000 0.000  -0.06
5 Cr 0.500 0.500 0.500  4.24

Output
N(E_F) = 9.0 states/eV/cell
Energy relative to the elements = 6.75 eV/f.u.
Total magnetization = 3.99 μB/f.u.


## ZrZn2Sb (GGA-PBEsol)

Data for a relaxed ZrZn2Sb crystal.

Cell lengths 3.660, 3.660, 5.639 Å; angles 90.00, 90.00, 90.00 degrees
Positions (direct):
1 Sb 0.500 0.500 0.500
2 Zn 0.000 0.000 0.759
3 Zn 0.000 0.000 0.241
4 Zr 0.500 0.500 0.000

Output
Energy relative to the elements, uncorrected = -0.1157 eV/atom
N(E_F) = 2.6 states/eV/cell
Total magnetization = 0.00 μB/f.u.


## NbC (GGA-PBEsol)

Data for a relaxed NbC crystal.

Cell lengths 3.162, 3.162, 3.162 Å; angles 60.00, 60.00, 60.00 degrees
Positions (direct):
1 Nb 0.000 0.000 0.000
2 C 0.500 0.500 0.500

Output
N(E_F) = 0.8 states/eV/cell
Energy relative to the elements = -1.08 eV/f.u.
Total magnetization = 0.00 μB/f.u.


## CsY3S (GGA-PBEsol)

Data for a relaxed CsY3S crystal.

Cell lengths 5.385, 5.385, 5.385 Å; angles 90.00, 90.00, 90.00 degrees
Positions (direct):
1 Cs 0.500 0.500 0.500
2 Y 0.000 0.500 0.000
3 Y 0.000 0.000 0.500
4 Y 0.500 0.000 0.000
5 S 0.000 0.000 0.000

Output
Energy relative to the elements, uncorrected = -0.2552 eV/atom
N(E_F) = 9.3 states/eV/cell
Total magnetization = 0.02 μB/f.u.


## CsTcSN2 (GGA-PBEsol)

Data for a relaxed CsTcSN2 crystal.

Cell lengths 4.023, 4.023, 4.830 Å; angles 90.00, 90.00, 90.00 degrees
Positions (direct):
1 Cs 0.500 0.500 0.500
2 S 0.000 0.000 0.500
3 Tc 0.000 0.000 0.000
4 N 0.000 0.500 0.000
5 N 0.500 0.000 0.000

Output
Energy relative to the elements, uncorrected = 0.3532 eV/atom
N(E_F) = 3.7 states/eV/cell
Total magnetization = 0.00 μB/f.u.


## Fe2PtRh (GGA-PBEsol)

Data for a relaxed Fe2PtRh crystal.

Cell lengths 2.662, 4.509, 4.509 Å; angles 107.58, 90.00, 90.00 degrees
Last column: magnetic moment on the atom in μB.
Positions (direct):
1 Rh 0.500 0.500 0.500  0.33
2 Fe 0.000 0.500 0.000  2.69
3 Fe 0.000 0.000 0.500  2.69
4 Pt 0.500 0.000 0.000  0.26

Output
N(E_F) = 5.2 states/eV/cell
Energy relative to the elements = -0.28 eV/f.u.
Total magnetization = 5.98 μB/f.u.


Question: Which value of total magnetization does entry 6 give?
Answer: 0.00 μB/f.u.


Question: total magnetization of number 3 (BeAu2Se)?
Answer: 0.00 μB/f.u.